# 1
Y5GeSe4 after structural relaxation, computed with PBE.

Output
Space group ... I4/m
Uncorrected energy ... -6.7593 eV/atom

Lattice parameters (Å, degrees): 5.790 7.126 7.126 80.50 66.03 66.03
Element x y z (fractional)
Se: 0.403 0.400 0.795
Se: 0.199 0.205 0.400
Se: 0.599 0.600 0.205
Se: 0.803 0.795 0.600
Y: 0.292 0.807 0.611
Y: 0.501 0.000 0.000
Y: 0.099 0.611 0.193
Y: 0.903 0.389 0.807
Y: 0.710 0.193 0.389
Ge: 0.001 0.000 0.000

=====

# 2
YGe2Se4 after structural relaxation, computed with PBE.

Output
Space group ... I4/m
Uncorrected energy ... -4.7521 eV/atom

Lattice parameters (Å, degrees): 6.403 6.403 6.403 106.45 106.45 115.70
Element x y z (fractional)
Se: 0.816 0.311 0.127
Se: 0.311 0.184 0.495
Se: 0.184 0.689 0.873
Se: 0.689 0.816 0.505
Y: 0.500 0.500 0.000
Ge: 0.750 0.250 0.500
Ge: 0.250 0.750 0.500

=====

Q: What is the uncorrected energy in the first record?
A: -6.7593 eV/atom